Below is SiPdN2O after structural relaxation, with properties calculated at the PBE-GGA level.

Lattice parameters (Å, degrees): 3.7194 3.7194 3.4084 90.00 90.00 90.00
Last column: nearest neighbours and their distance in Å.
Fractional positions:
1 O 0.0000 0.0000 0.5000  2 Si 1.70
2 Pd 0.5000 0.5000 0.5000  8 N 2.52, 4 O 2.63
3 Si 0.0000 0.0000 0.0000  2 O 1.70, 4 N 1.86
4 N 0.5000 0.0000 0.0000  2 Si 1.86
5 N 0.0000 0.5000 0.0000  2 Si 1.86

Computed properties:
* space-group type: P4/mmm
* Fermi-level density of states: 0.78 states/eV/atom
* M_tot: 0.005 μB per cell
* crystal system: tetragonal
* E_form (uncorrected): 186 meV per atom